Run P
ZnS2ClF | PBE | relaxed

ρ: 2716 kg/m³

a b c (Å): 4.900 4.900 4.685
angles (deg): 90.00 90.00 90.00
Space group P4/mmm (No. 123)
Symmetry-distinct sites (fractional):
Zn  0.000  0.000  0.000 (multiplicity 1)
S  0.000  0.500  0.000 (multiplicity 2)
Cl  0.000  0.000  0.500 (multiplicity 1)
F  0.500  0.500  0.500 (multiplicity 1)


Run Q
ZnS2ClF | PBE | relaxed

ρ: 3102 kg/m³

a b c (Å): 4.081 4.081 5.913
angles (deg): 90.00 90.00 90.00
Space group P4/mmm (No. 123)
Symmetry-distinct sites (fractional):
Zn  0.000  0.000  0.000 (multiplicity 1)
S  0.000  0.500  0.500 (multiplicity 2)
Cl  0.500  0.500  0.000 (multiplicity 1)
F  0.500  0.500  0.500 (multiplicity 1)


Least stable: run Q


Run P
SbClF3 | PBE | relaxed

ρ: 2993 kg/m³

a b c (Å): 6.8874 6.8874 8.6792
angles (deg): 90.00 90.00 120.00
Space group R3m (No. 160, hexagonal axes)
Symmetry-distinct sites (fractional):
Sb  0.0000  0.0000  0.0000 (multiplicity 3)
Cl  0.0000  0.0000  0.7085 (multiplicity 3)
F  0.0535  0.5268  0.7778 (multiplicity 9)


Run Q
SbClF3 | PBE | relaxed

ρ: 4183 kg/m³

a b c (Å): 4.397 4.397 4.397
angles (deg): 90.00 90.00 90.00
Space group Pm-3m (No. 221)
Symmetry-distinct sites (fractional):
Sb  0.000  0.000  0.000 (multiplicity 1)
Cl  0.500  0.500  0.500 (multiplicity 1)
F  0.000  0.000  0.500 (multiplicity 3)


Run R
SbClF3 | PBE | relaxed

ρ: 4081 kg/m³

a b c (Å): 4.434 4.434 4.434
angles (deg): 90.00 90.00 90.00
Space group Pm-3m (No. 221)
Symmetry-distinct sites (fractional):
Sb  0.000  0.000  0.000 (multiplicity 1)
Cl  0.500  0.500  0.500 (multiplicity 1)
F  0.000  0.500  0.500 (multiplicity 3)


Run S
SbClF3 | PBE | relaxed

ρ: 3432 kg/m³

a b c (Å): 5.343 6.811 5.864
angles (deg): 90.00 103.75 90.00
Space group Pm (No. 6)
Symmetry-distinct sites (fractional):
Sb  0.000  0.000  0.000 (multiplicity 1)
Sb  0.466  0.500  0.084 (multiplicity 1)
Cl  0.252  0.000  0.377 (multiplicity 1)
Cl  0.698  0.500  0.477 (multiplicity 1)
F  0.154  0.500  0.197 (multiplicity 1)
F  0.225  0.203  0.911 (multiplicity 2)
F  0.766  0.201  0.063 (multiplicity 2)
F  0.813  0.000  0.683 (multiplicity 1)


Least stable: run R


Run P
Sb2ClF | PBE | relaxed

ρ: 5907 kg/m³

a b c (Å): 6.946 6.946 6.946
angles (deg): 90.00 90.00 90.00
Space group Fm-3m (No. 225)
Symmetry-distinct sites (fractional):
Sb  0.250  0.250  0.250 (multiplicity 8)
Cl  0.000  0.000  0.000 (multiplicity 4)
F  0.000  0.000  0.500 (multiplicity 4)


Run Q
Sb2ClF | PBE | relaxed

ρ: 5366 kg/m³

a b c (Å): 4.493 4.493 18.269
angles (deg): 90.00 90.00 90.00
Space group I-42d (No. 122)
Symmetry-distinct sites (fractional):
Sb  0.214  0.250  0.125 (multiplicity 8)
Cl  0.000  0.000  0.500 (multiplicity 4)
F  0.000  0.000  0.000 (multiplicity 4)


Least stable: run P


Run P
SbCl2F | PBE | relaxed

ρ: 3986 kg/m³

a b c (Å): 4.518 4.518 17.282
angles (deg): 90.00 90.00 90.00
Space group I-42d (No. 122)
Symmetry-distinct sites (fractional):
Sb  0.000  0.000  0.000 (multiplicity 4)
Cl  0.235  0.250  0.125 (multiplicity 8)
F  0.000  0.000  0.500 (multiplicity 4)


Run Q
SbCl2F | PBE | relaxed

ρ: 2883 kg/m³

a b c (Å): 7.688 5.493 13.343
angles (deg): 90.00 120.06 90.00
Space group P2_1/c (No. 14)
Symmetry-distinct sites (fractional):
Sb  0.167  0.019  0.406 (multiplicity 4)
Cl  0.186  0.746  0.056 (multiplicity 4)
Cl  0.410  0.713  0.880 (multiplicity 4)
F  0.050  0.180  0.716 (multiplicity 4)


Run R
SbCl2F | PBE | relaxed

ρ: 4920 kg/m³

a b c (Å): 6.586 6.586 6.586
angles (deg): 90.00 90.00 90.00
Space group Fm-3m (No. 225)
Symmetry-distinct sites (fractional):
Sb  0.000  0.000  0.000 (multiplicity 4)
Cl  0.250  0.250  0.250 (multiplicity 8)
F  0.000  0.000  0.500 (multiplicity 4)


Least stable: run P


Run P
SbCl2F | PBE | relaxed

ρ: 3425 kg/m³

a b c (Å): 3.8627 3.8627 23.8249
angles (deg): 90.00 90.00 120.00
Space group R-3m (No. 166, hexagonal axes)
Symmetry-distinct sites (fractional):
Sb  0.0000  0.0000  0.0000 (multiplicity 3)
Cl  0.0000  0.0000  0.4051 (multiplicity 6)
F  0.0000  0.0000  0.5000 (multiplicity 3)


Run Q
SbCl2F | PBE | relaxed

ρ: 2930 kg/m³

a b c (Å): 13.681 3.918 4.764
angles (deg): 90.00 109.99 90.00
Space group Cm (No. 8)
Symmetry-distinct sites (fractional):
Sb  0.000  0.000  0.000 (multiplicity 2)
Cl  0.141  0.500  0.184 (multiplicity 2)
Cl  0.358  0.000  0.901 (multiplicity 2)
F  0.499  0.500  0.412 (multiplicity 2)


Least stable: run P


Run P
SbClF | PBE | relaxed

ρ: 3093 kg/m³

a b c (Å): 6.149 8.067 8.868
angles (deg): 90.00 120.65 90.00
Space group P2_1/c (No. 14)
Symmetry-distinct sites (fractional):
Sb  0.028  0.139  0.256 (multiplicity 4)
Cl  0.345  0.732  0.776 (multiplicity 4)
F  0.127  0.088  0.724 (multiplicity 4)


Run Q
SbClF | PBE | relaxed

ρ: 3984 kg/m³

a b c (Å): 5.0249 5.0249 20.1513
angles (deg): 90.00 90.00 120.00
Space group R-3m (No. 166, hexagonal axes)
Symmetry-distinct sites (fractional):
Sb  0.0000  0.0000  0.2477 (multiplicity 6)
Cl  0.0000  0.0000  0.3914 (multiplicity 6)
F  0.0000  0.0000  0.1468 (multiplicity 6)


Least stable: run Q


Run P
ScCl3F | PBE | relaxed

ρ: 2816 kg/m³

a b c (Å): 4.648 4.648 4.648
angles (deg): 90.00 90.00 90.00
Space group Pm-3m (No. 221)
Symmetry-distinct sites (fractional):
Sc  0.000  0.000  0.000 (multiplicity 1)
Cl  0.000  0.500  0.500 (multiplicity 3)
F  0.500  0.500  0.500 (multiplicity 1)


Run Q
ScCl3F | PBE | relaxed

ρ: 2316 kg/m³

a b c (Å): 4.961 4.961 4.961
angles (deg): 90.00 90.00 90.00
Space group Pm-3m (No. 221)
Symmetry-distinct sites (fractional):
Sc  0.000  0.000  0.000 (multiplicity 1)
Cl  0.000  0.000  0.500 (multiplicity 3)
F  0.500  0.500  0.500 (multiplicity 1)


Least stable: run P


Run P
ScCl2F | PBE | relaxed

ρ: 2567 kg/m³

a b c (Å): 3.6948 3.6948 22.1397
angles (deg): 90.00 90.00 120.00
Space group R-3m (No. 166, hexagonal axes)
Symmetry-distinct sites (fractional):
Sc  0.0000  0.0000  0.0000 (multiplicity 3)
Cl  0.0000  0.0000  0.3961 (multiplicity 6)
F  0.0000  0.0000  0.5000 (multiplicity 3)


Run Q
ScCl2F | PBE | relaxed

ρ: 2456 kg/m³

a b c (Å): 6.493 5.688 9.874
angles (deg): 90.00 90.00 90.00
Space group Pnna (No. 52)
Symmetry-distinct sites (fractional):
Sc  0.250  0.000  0.106 (multiplicity 4)
Cl  0.075  0.235  0.924 (multiplicity 8)
F  0.183  0.250  0.250 (multiplicity 4)


Least stable: run P


Run P
ScClF3 | PBE | relaxed

ρ: 3154 kg/m³

a b c (Å): 4.167 4.167 4.167
angles (deg): 90.00 90.00 90.00
Space group Pm-3m (No. 221)
Symmetry-distinct sites (fractional):
Sc  0.000  0.000  0.000 (multiplicity 1)
Cl  0.500  0.500  0.500 (multiplicity 1)
F  0.000  0.000  0.500 (multiplicity 3)


Run Q
ScClF3 | PBE | relaxed

ρ: 2601 kg/m³

a b c (Å): 4.443 4.443 4.443
angles (deg): 90.00 90.00 90.00
Space group Pm-3m (No. 221)
Symmetry-distinct sites (fractional):
Sc  0.000  0.000  0.000 (multiplicity 1)
Cl  0.500  0.500  0.500 (multiplicity 1)
F  0.000  0.500  0.500 (multiplicity 3)


Least stable: run Q


Run P
SeCl2F | PBE | relaxed

ρ: 2899 kg/m³

a b c (Å): 5.116 5.116 14.785
angles (deg): 90.00 90.00 90.00
Space group I-42d (No. 122)
Symmetry-distinct sites (fractional):
Se  0.000  0.000  0.000 (multiplicity 4)
Cl  0.192  0.250  0.125 (multiplicity 8)
F  0.000  0.000  0.500 (multiplicity 4)


Run Q
SeCl2F | PBE | relaxed

ρ: 4241 kg/m³

a b c (Å): 6.419 6.419 6.419
angles (deg): 90.00 90.00 90.00
Space group Fm-3m (No. 225)
Symmetry-distinct sites (fractional):
Se  0.000  0.000  0.000 (multiplicity 4)
Cl  0.250  0.250  0.250 (multiplicity 8)
F  0.000  0.000  0.500 (multiplicity 4)


Least stable: run Q


Run P
SeCl2F | PBE | relaxed

ρ: 3345 kg/m³

a b c (Å): 3.4408 3.4408 24.5296
angles (deg): 90.00 90.00 120.00
Space group R-3m (No. 166, hexagonal axes)
Symmetry-distinct sites (fractional):
Se  0.0000  0.0000  0.0000 (multiplicity 3)
Cl  0.0000  0.0000  0.0915 (multiplicity 6)
F  0.0000  0.0000  0.5000 (multiplicity 3)


Run Q
SeCl2F | PBE | relaxed

ρ: 3451 kg/m³

a b c (Å): 3.3903 3.3903 24.4894
angles (deg): 90.00 90.00 120.00
Space group R-3m (No. 166, hexagonal axes)
Symmetry-distinct sites (fractional):
Se  0.0000  0.0000  0.0000 (multiplicity 3)
Cl  0.0000  0.0000  0.4142 (multiplicity 6)
F  0.0000  0.0000  0.5000 (multiplicity 3)


Least stable: run Q


Run P
SeClF | PBE | relaxed

ρ: 2748 kg/m³

a b c (Å): 4.687 5.899 6.487
angles (deg): 98.68 94.78 113.00
Space group P1 (No. 1)
Symmetry-distinct sites (fractional):
Se  0.000  0.000  0.000 (multiplicity 1)
Se  0.105  0.400  0.305 (multiplicity 1)
Cl  0.330  0.220  0.486 (multiplicity 1)
Cl  0.535  0.691  0.177 (multiplicity 1)
F  0.776  0.116  0.844 (multiplicity 1)
F  0.915  0.743  0.774 (multiplicity 1)


Run Q
SeClF | PBE | relaxed

ρ: 2415 kg/m³

a b c (Å): 5.259 5.990 6.262
angles (deg): 109.74 97.49 91.95
Space group P1 (No. 1)
Symmetry-distinct sites (fractional):
Se  0.000  0.000  0.000 (multiplicity 1)
Se  0.297  0.341  0.173 (multiplicity 1)
Cl  0.120  0.791  0.670 (multiplicity 1)
Cl  0.586  0.243  0.398 (multiplicity 1)
F  0.179  0.816  0.147 (multiplicity 1)
F  0.881  0.236  0.874 (multiplicity 1)


Least stable: run P